Density functional theory data (PBE-GGA) for a relaxed CoHgAs crystal. Values from VASP.

The density of states at the Fermi level comes out at 0.49 states/eV/f.u. The space group is P3m1. As for the formation enthalpy at 0 K: 0.10 eV/atom. The energy above the most stable polymorph in this dataset is 0.000 eV per atom.

Structure (Quantum ESPRESSO input):
```
&SYSTEM
  ibrav = 0, nat = 3, ntyp = 3
/
ATOMIC_SPECIES
Co 58.93 Co.upf
Hg 200.59 Hg.upf
As 74.92 As.upf
ATOMIC_POSITIONS angstrom
Co 1.585 0.915 1.866
Hg 0.000 1.831 3.944
As 0.000 0.000 0.476
CELL_PARAMETERS angstrom
3.171 0.000 0.000
-1.585 2.746 0.000
0.000 0.000 6.285
```

---

Density functional theory data (PBE-GGA) for a relaxed Co2HgAs crystal. Values from VASP.

The density of states at the Fermi level comes out at 3.11 states/eV/f.u. The space group is Cm. As for the formation enthalpy at 0 K: 0.24 eV/atom. The energy above the most stable polymorph in this dataset is 0.072 eV per atom.

Structure (Quantum ESPRESSO input):
```
&SYSTEM
  ibrav = 0, nat = 4, ntyp = 3
/
ATOMIC_SPECIES
As 74.92 As.upf
Co 58.93 Co.upf
Hg 200.59 Hg.upf
ATOMIC_POSITIONS angstrom
As -4.439 -2.599 4.310
Co -1.635 0.203 1.288
Co -4.719 2.783 3.151
Hg -3.714 -0.280 3.117
CELL_PARAMETERS angstrom
-1.247 1.929 3.029
-3.609 1.186 0.148
-1.577 -5.120 2.614
```

---

Density functional theory data (PBE-GGA) for a relaxed Co2HgAs2 crystal. Values from VASP.

The density of states at the Fermi level comes out at 3.85 states/eV/f.u. The space group is I4/mmm. As for the formation enthalpy at 0 K: 0.19 eV/atom. The energy above the most stable polymorph in this dataset is 0.142 eV per atom.

Structure (Quantum ESPRESSO input):
```
&SYSTEM
  ibrav = 0, nat = 5, ntyp = 3
/
ATOMIC_SPECIES
As 74.92 As.upf
Co 58.93 Co.upf
Hg 200.59 Hg.upf
ATOMIC_POSITIONS angstrom
As 1.919 3.837 2.756
As 3.837 1.919 2.756
Co 1.919 1.919 1.348
Co 3.837 3.837 4.165
Hg 0.000 0.000 0.000
CELL_PARAMETERS angstrom
3.837 0.000 0.000
0.000 3.837 0.000
1.919 1.919 5.513
```

---

Density functional theory data (PBE-GGA) for a relaxed Co2HgAs crystal. Values from VASP.

The density of states at the Fermi level comes out at 3.25 states/eV/f.u. The space group is P4mm. As for the formation enthalpy at 0 K: 0.20 eV/atom. The energy above the most stable polymorph in this dataset is 0.037 eV per atom.

Structure (Quantum ESPRESSO input):
```
&SYSTEM
  ibrav = 0, nat = 4, ntyp = 3
/
ATOMIC_SPECIES
As 74.92 As.upf
Co 58.93 Co.upf
Hg 200.59 Hg.upf
ATOMIC_POSITIONS angstrom
As -5.255 -2.125 3.778
Co -0.101 -0.014 0.112
Co -1.934 -1.675 0.113
Hg -2.305 -0.312 2.543
CELL_PARAMETERS angstrom
-2.137 -0.185 -1.959
0.314 -2.887 -0.070
-5.182 -0.702 5.717
```

---

Q: Which value of formation enthalpy at 0 K does entry 3 give?
A: 0.19 eV/atom

---

Q: Among the records above, which one has the lowest formation enthalpy at 0 K?
A: CoHgAs

---

Please write out number 2 again, unchanged.
Density functional theory data (PBE-GGA) for a relaxed Co2HgAs crystal. Values from VASP.

The density of states at the Fermi level comes out at 3.11 states/eV/f.u. The space group is Cm. As for the formation enthalpy at 0 K: 0.24 eV/atom. The energy above the most stable polymorph in this dataset is 0.072 eV per atom.

Structure (Quantum ESPRESSO input):
```
&SYSTEM
  ibrav = 0, nat = 4, ntyp = 3
/
ATOMIC_SPECIES
As 74.92 As.upf
Co 58.93 Co.upf
Hg 200.59 Hg.upf
ATOMIC_POSITIONS angstrom
As -4.439 -2.599 4.310
Co -1.635 0.203 1.288
Co -4.719 2.783 3.151
Hg -3.714 -0.280 3.117
CELL_PARAMETERS angstrom
-1.247 1.929 3.029
-3.609 1.186 0.148
-1.577 -5.120 2.614
```

---

Q: What is the formation enthalpy at 0 K in the fourth record?
A: 0.20 eV/atom